Entry 1:
VASP calculation (PBE) on crystalline BeFeRu at its relaxed geometry.

```
BeFeRu
1.0
-0.721 2.366 5.668
1.780 -2.032 0.415
2.951 2.453 -0.649
Be Fe Ru
2 2 2
direct
0.012 0.068 0.578
0.295 0.208 0.078
0.618 0.871 0.078
0.689 0.407 0.578
0.344 0.734 0.577
0.963 0.543 0.078
```

Values from the calculation:
Raw total energy in eV for the cell shown: -43.54
Symmetry: Cmcm, No. 63
ΔE_f in eV per atom: -0.10



Entry 2:
VASP calculation (PBE) on crystalline BeFeRu at its relaxed geometry.

```
BeFeRu
1.0
3.278 0.000 0.000
0.000 3.278 0.000
0.000 0.000 6.156
Be Ru Fe
2 2 2
direct
0.000 0.500 0.781
0.500 0.000 0.219
0.000 0.500 0.163
0.500 0.000 0.837
0.500 0.500 0.500
0.000 0.000 0.500
```

Values from the calculation:
Raw total energy in eV for the cell shown: -43.21
Symmetry: P4/nmm, No. 129
ΔE_f in eV per atom: -0.05



Entry 3:
VASP calculation (PBE) on crystalline BeFeRu3 at its relaxed geometry.

```
BeFeRu3
1.0
-1.606 -1.340 -3.432
3.453 -1.854 -0.892
-1.286 -3.305 1.892
Fe Ru Be
1 3 1
direct
0.500 0.500 0.500
0.000 0.500 0.000
0.500 0.000 0.000
0.000 0.000 0.500
0.000 0.000 0.000
```

Values from the calculation:
Raw total energy in eV for the cell shown: -36.37
Symmetry: Pm-3m, No. 221
ΔE_f in eV per atom: 0.73



Entry 4:
VASP calculation (PBE) on crystalline Be2FeRu2 at its relaxed geometry.

```
Be2FeRu2
1.0
-5.380 -0.277 3.461
-1.475 -5.596 -2.741
1.378 -1.359 2.033
Fe Be Ru
2 4 4
direct
0.500 0.500 0.000
0.000 0.000 0.000
0.843 0.343 0.500
0.657 0.843 0.500
0.343 0.157 0.500
0.157 0.657 0.500
0.642 0.142 0.000
0.358 0.858 0.000
0.858 0.642 0.000
0.142 0.358 0.000
```

Values from the calculation:
Raw total energy in eV for the cell shown: -66.46
Symmetry: P4/mbm, No. 127
ΔE_f in eV per atom: 0.25



Entry 5:
VASP calculation (PBE) on crystalline BeFeRu3 at its relaxed geometry.

```
BeFeRu3
1.0
-0.713 1.856 -3.875
-3.569 -2.443 -0.513
-2.393 3.092 1.921
Be Fe Ru
1 1 3
direct
0.500 0.500 0.500
0.000 0.000 0.000
0.500 0.000 0.000
0.000 0.000 0.500
0.000 0.500 0.000
```

Values from the calculation:
Raw total energy in eV for the cell shown: -32.32
Symmetry: Pm-3m, No. 221
ΔE_f in eV per atom: 1.54



Entry 6:
VASP calculation (PBE) on crystalline Be3FeRu at its relaxed geometry.

```
Be3FeRu
1.0
3.788 0.000 0.000
0.000 3.788 0.000
0.000 0.000 3.788
Ru Be Fe
1 3 1
direct
0.500 0.500 0.500
0.000 0.500 0.000
0.500 0.000 0.000
0.000 0.000 0.500
0.000 0.000 0.000
```

Values from the calculation:
Raw total energy in eV for the cell shown: -25.31
Symmetry: Pm-3m, No. 221
ΔE_f in eV per atom: 0.72



Entry 7:
VASP calculation (PBE) on crystalline BeFeRu at its relaxed geometry.

```
BeFeRu
1.0
4.394 0.000 0.000
2.197 3.862 -0.006
-2.197 -0.023 3.862
Be Ru Fe
2 2 2
direct
0.647 0.099 0.191
0.147 0.099 0.190
0.557 0.591 0.004
0.736 0.912 0.682
0.058 0.276 0.691
0.235 0.599 0.368
```

Values from the calculation:
Raw total energy in eV for the cell shown: -43.71
Symmetry: Ima2, No. 46
ΔE_f in eV per atom: -0.13



Entry 8:
VASP calculation (PBE) on crystalline BeFeRu at its relaxed geometry.

```
BeFeRu
1.0
6.997 0.000 0.000
0.000 4.727 0.000
0.000 0.000 4.059
Ru Fe Be
4 4 4
direct
0.334 0.250 0.000
0.666 0.750 0.000
0.834 0.250 0.500
0.166 0.750 0.500
0.500 0.500 0.500
0.000 0.500 0.000
0.500 0.000 0.500
0.000 0.000 0.000
0.832 0.750 0.500
0.668 0.250 0.000
0.332 0.750 0.000
0.168 0.250 0.500
```

Values from the calculation:
Raw total energy in eV for the cell shown: -86.86
Symmetry: Cmcm, No. 63
ΔE_f in eV per atom: -0.08



Entry 9:
VASP calculation (PBE) on crystalline BeFeRu at its relaxed geometry.

```
BeFeRu
1.0
-1.488 -1.278 6.162
2.558 -1.000 0.410
1.170 3.399 0.987
Fe Be Ru
2 2 2
direct
0.723 0.716 0.578
0.597 0.216 0.077
0.044 0.216 0.578
0.249 0.216 0.078
0.960 0.716 0.078
0.348 0.716 0.578
```

Values from the calculation:
Raw total energy in eV for the cell shown: -43.14
Symmetry: Pmm2, No. 25
ΔE_f in eV per atom: -0.03



Entry 10:
VASP calculation (PBE) on crystalline BeFeRu at its relaxed geometry.

```
BeFeRu
1.0
-1.454 -3.520 0.285
3.224 0.890 1.844
-1.380 0.737 2.058
Fe Be Ru
1 1 1
direct
0.667 0.333 0.165
0.000 0.000 0.169
0.333 0.667 0.666
```

Values from the calculation:
Raw total energy in eV for the cell shown: -21.42
Symmetry: P3m1, No. 156
ΔE_f in eV per atom: 0.01



Entry 11:
VASP calculation (PBE) on crystalline BeFeRu at its relaxed geometry.

```
BeFeRu
1.0
6.325 0.000 0.051
0.000 2.814 0.000
-1.229 0.000 3.701
Ru Fe Be
2 2 2
direct
0.306 0.402 0.891
0.001 0.402 0.238
0.653 0.402 0.565
0.653 0.902 0.065
0.340 0.902 0.408
0.967 0.902 0.721
```

Values from the calculation:
Raw total energy in eV for the cell shown: -43.62
Symmetry: Cmmm, No. 65
ΔE_f in eV per atom: -0.11



Entry 12:
VASP calculation (PBE) on crystalline BeFeRu at its relaxed geometry.

```
BeFeRu
1.0
-1.312 3.613 3.064
-3.660 0.085 -1.668
-2.225 -4.742 4.640
Fe Be Ru
4 4 4
direct
0.748 0.250 0.436
0.252 0.750 0.564
0.248 0.250 0.064
0.752 0.750 0.936
0.992 0.750 0.239
0.492 0.750 0.261
0.008 0.250 0.761
0.508 0.250 0.739
0.718 0.250 0.104
0.782 0.750 0.604
0.282 0.750 0.896
0.218 0.250 0.396
```

Values from the calculation:
Raw total energy in eV for the cell shown: -83.53
Symmetry: Pnma, No. 62
ΔE_f in eV per atom: 0.19



Entry 13:
VASP calculation (PBE) on crystalline BeFeRu at its relaxed geometry.

```
BeFeRu
1.0
-2.352 1.035 2.742
-3.644 0.527 -0.749
-2.556 -2.429 1.300
Fe Be Ru
1 1 1
direct
0.000 0.000 0.000
0.750 0.750 0.750
0.250 0.250 0.250
```

Values from the calculation:
Raw total energy in eV for the cell shown: -20.71
Symmetry: F-43m, No. 216
ΔE_f in eV per atom: 0.25



Entry 14:
VASP calculation (PBE) on crystalline Be3FeRu at its relaxed geometry.

```
Be3FeRu
1.0
4.074 0.000 0.000
0.000 4.074 0.000
0.000 0.000 4.074
Be Ru Fe
3 1 1
direct
0.000 0.000 0.500
0.500 0.000 0.000
0.000 0.500 0.000
0.000 0.000 0.000
0.500 0.500 0.500
```

Values from the calculation:
Raw total energy in eV for the cell shown: -24.92
Symmetry: Pm-3m, No. 221
ΔE_f in eV per atom: 0.80



Entry 15:
VASP calculation (PBE) on crystalline BeFe4Ru at its relaxed geometry.

```
BeFe4Ru
1.0
-1.362 -4.414 0.522
0.620 -2.158 4.070
-3.663 -1.001 2.682
Fe Ru Be
4 1 1
direct
0.375 0.375 0.875
0.375 0.375 0.375
0.375 0.875 0.375
0.875 0.375 0.375
0.750 0.750 0.750
0.000 0.000 0.000
```

Values from the calculation:
Raw total energy in eV for the cell shown: -45.63
Symmetry: F-43m, No. 216
ΔE_f in eV per atom: 0.20



Entry 16:
VASP calculation (PBE) on crystalline BeFeRu at its relaxed geometry.

```
BeFeRu
1.0
-0.749 -4.432 -0.050
3.752 1.651 1.845
-0.185 2.323 3.908
Ru Be Fe
2 2 2
direct
0.775 0.926 0.649
0.518 0.183 0.893
0.647 0.555 0.271
0.147 0.055 0.271
0.147 0.555 0.771
0.147 0.555 0.271
```

Values from the calculation:
Raw total energy in eV for the cell shown: -43.62
Symmetry: Imma, No. 74
ΔE_f in eV per atom: -0.11



Entry 17:
VASP calculation (PBE) on crystalline Sc2Be2FeRu5 at its relaxed geometry.

```
Sc2Be2FeRu5
1.0
3.166 0.000 0.000
0.000 9.294 0.000
0.000 0.000 9.294
Ru Be Sc Fe
10 4 4 2
direct
0.500 0.931 0.203
0.500 0.569 0.703
0.500 0.297 0.569
0.500 0.703 0.431
0.500 0.500 0.000
0.500 0.797 0.931
0.500 0.431 0.297
0.500 0.000 0.500
0.500 0.203 0.069
0.500 0.069 0.797
0.000 0.625 0.875
0.000 0.125 0.625
0.000 0.375 0.125
0.000 0.875 0.375
0.000 0.827 0.673
0.000 0.327 0.827
0.000 0.673 0.173
0.000 0.173 0.327
0.000 0.500 0.500
0.000 0.000 0.000
```

Values from the calculation:
Raw total energy in eV for the cell shown: -156.00
Symmetry: P4/mbm, No. 127
ΔE_f in eV per atom: -0.30



Entry 18:
VASP calculation (PBE) on crystalline UBeFeRu at its relaxed geometry.

```
UBeFeRu
1.0
4.360 0.000 0.000
2.180 3.775 0.000
2.180 1.258 3.560
Ru Be U Fe
1 1 1 1
direct
0.750 0.750 0.750
0.000 0.000 0.000
0.500 0.500 0.500
0.250 0.250 0.250
```

Values from the calculation:
Raw total energy in eV for the cell shown: -32.64
Symmetry: F-43m, No. 216
ΔE_f in eV per atom: 0.03



Entry 19:
VASP calculation (PBE) on crystalline BeVFeRu at its relaxed geometry.

```
BeVFeRu
1.0
2.867 0.000 0.000
0.000 2.867 0.000
0.000 0.000 5.505
Fe V Ru Be
1 1 1 1
direct
0.000 0.000 0.368
0.500 0.500 0.125
0.000 0.000 0.839
0.500 0.500 0.596
```

Values from the calculation:
Raw total energy in eV for the cell shown: -31.69
Symmetry: P4mm, No. 99
ΔE_f in eV per atom: -0.28



Entry 20:
VASP calculation (PBE) on crystalline Be2V2FeRu5 at its relaxed geometry.

```
Be2V2FeRu5
1.0
-2.653 0.098 -1.449
-1.025 -8.968 1.267
-4.256 1.602 7.899
Ru V Be Fe
10 4 4 2
direct
0.500 0.000 0.500
0.500 0.201 0.083
0.500 0.083 0.799
0.500 0.799 0.917
0.500 0.299 0.583
0.500 0.417 0.299
0.500 0.701 0.417
0.500 0.917 0.201
0.500 0.583 0.701
0.500 0.500 0.000
0.000 0.675 0.175
0.000 0.825 0.675
0.000 0.325 0.825
0.000 0.175 0.325
0.000 0.877 0.377
0.000 0.123 0.623
0.000 0.623 0.877
0.000 0.377 0.123
0.000 0.500 0.500
0.000 0.000 0.000
```

Values from the calculation:
Raw total energy in eV for the cell shown: -163.47
Symmetry: P4/mbm, No. 127
ΔE_f in eV per atom: -0.12



Entry 21:
VASP calculation (PBE) on crystalline BeFeS2 at its relaxed geometry.

```
BeFeS2
1.0
5.004 0.000 0.000
0.000 5.004 0.000
2.502 2.502 4.762
Be Fe S
2 2 4
direct
0.250 0.750 0.500
0.500 0.500 0.000
0.750 0.250 0.500
0.000 0.000 0.000
0.137 0.625 0.250
0.875 0.863 0.750
0.613 0.125 0.250
0.375 0.387 0.750
```

Values from the calculation:
Raw total energy in eV for the cell shown: -44.60
Symmetry: I-42d, No. 122



Entry 22:
VASP calculation (PBE) on crystalline BeFeS2 at its relaxed geometry.

```
BeFeS2
1.0
1.760 0.000 6.870
-0.880 1.524 6.870
-0.880 -1.524 6.870
Fe S Be
1 2 1
direct
0.000 0.000 0.000
0.897 0.897 0.897
0.103 0.103 0.103
0.500 0.500 0.500
```

Values from the calculation:
Raw total energy in eV for the cell shown: -19.93
Symmetry: R-3m, No. 166



Entry 23:
VASP calculation (PBE) on crystalline BeFeS2 at its relaxed geometry.

```
BeFeS2
1.0
-4.521 0.283 4.509
-2.042 -1.775 5.790
-1.681 1.671 5.936
S Be Fe
2 1 1
direct
0.106 0.106 0.106
0.894 0.894 0.894
0.000 0.000 0.000
0.500 0.500 0.500
```

Values from the calculation:
Raw total energy in eV for the cell shown: -21.11
Symmetry: R-3m, No. 166



Entry 24:
VASP calculation (PBE) on crystalline BeFeSb2 at its relaxed geometry.

```
BeFeSb2
1.0
-0.056 -6.796 -1.174
2.315 -4.388 -4.790
1.132 5.515 3.984
Sb Be Fe
2 1 1
direct
0.996 0.996 0.000
0.747 0.247 0.500
0.422 0.422 0.000
0.334 0.834 0.500
```

Values from the calculation:
Raw total energy in eV for the cell shown: -19.50
Symmetry: Imm2, No. 44



Entry 25:
VASP calculation (PBE) on crystalline BeFeSb2 at its relaxed geometry.

```
BeFeSb2
1.0
4.543 0.000 0.000
0.000 4.543 0.000
0.000 0.000 3.458
Sb Be Fe
2 1 1
direct
0.500 0.500 0.000
0.000 0.000 0.000
0.500 0.000 0.500
0.000 0.500 0.500
```

Values from the calculation:
Raw total energy in eV for the cell shown: -18.09
Symmetry: P4/mmm, No. 123



Entry 26:
VASP calculation (PBE) on crystalline BeFeSb2 at its relaxed geometry.

```
BeFeSb2
1.0
-1.027 2.378 -1.794
-2.833 -0.325 1.190
1.713 4.861 5.463
Sb Fe Be
2 1 1
direct
0.000 0.248 0.968
0.000 0.252 0.532
0.500 0.750 0.750
0.500 0.250 0.250
```

Values from the calculation:
Raw total energy in eV for the cell shown: -18.43
Symmetry: P2/m, No. 10